The following is a PBE-GGA calculation of a relaxed CeNdHo2P4 crystal, from Alexandria.

Computed properties:
Total moment, μB per formula unit: 0.4
Energy of formation, eV/atom: -1.565

Lattice parameters (Å, degrees): 7.0111 4.0584 7.0296 90.00 109.42 90.00
With the nearest neighbours (Å) after each atom.
Sites, in units of the cell vectors:
Ce (0.0000, 0.0000, 0.0000)  6 P 2.87-2.88
Nd (0.0000, 0.5000, 0.5000)  6 P 2.91
Ho (0.5000, 0.0000, 0.5000)  6 P 2.85-2.86
Ho (0.5000, 0.5000, 0.0000)  6 P 2.82-2.83
P (0.2563, 0.5000, 0.2488)  3 Ho 2.82-2.85, 2 Ce 2.88, 1 Nd 2.91
P (0.2579, 0.0000, 0.7570)  3 Ho 2.83-2.86, 1 Ce 2.87, 2 Nd 2.91
P (0.7421, 0.0000, 0.2430)  3 Ho 2.83-2.86, 1 Ce 2.87, 2 Nd 2.91
P (0.7437, 0.5000, 0.7512)  3 Ho 2.82-2.85, 2 Ce 2.88, 1 Nd 2.91